Arrangement 1

The following is a PBE-GGA calculation of a relaxed structure of YGaSe3, from Alexandria via LeMat-Bulk.

Cell: 4.957 4.957 4.957 Å, 90.00 90.00 90.00°
Space group Pm-3m (No. 221)
Inequivalent atoms, fractional coordinates:
Y 0.000 0.000 0.000
Ga 0.500 0.500 0.500
Se 0.000 0.500 0.500

ρ (g/cm³): 5.4
Total moment (μB/f.u.): 0.0

Arrangement 2

The following is a PBE-GGA calculation of a relaxed structure of YGaSe3, from Alexandria via LeMat-Bulk.

Cell: 7.057 7.278 11.484 Å, 90.00 120.17 90.00°
Space group P2_1/c (No. 14)
Inequivalent atoms, fractional coordinates:
Y 0.154 0.131 0.218
Ga 0.265 0.662 0.119
Se 0.079 0.199 0.931
Se 0.248 0.670 0.907
Se 0.460 0.053 0.804

ρ (g/cm³): 5.2
Total moment (μB/f.u.): 0.0

Arrangement 3

The following is a PBE-GGA calculation of a relaxed structure of YGaSe3, from Alexandria via LeMat-Bulk.

Cell: 5.509 5.509 5.509 Å, 90.00 90.00 90.00°
Space group Pm-3m (No. 221)
Inequivalent atoms, fractional coordinates:
Y 0.000 0.000 0.000
Ga 0.500 0.500 0.500
Se 0.000 0.000 0.500

ρ (g/cm³): 3.9
Total moment (μB/f.u.): 0.7

Tell me which of them is the most stable. Sure, it is arrangement 2.

Arrangement 1

The following is a PBE-GGA calculation of a relaxed structure of YGa3Se, from Alexandria via LeMat-Bulk.

Cell: 5.557 5.557 5.557 Å, 90.00 90.00 90.00°
Space group Pm-3m (No. 221)
Inequivalent atoms, fractional coordinates:
Y 0.000 0.000 0.000
Ga 0.000 0.000 0.500
Se 0.500 0.500 0.500

ρ (g/cm³): 3.6
Total moment (μB/f.u.): 0.0

Arrangement 2

The following is a PBE-GGA calculation of a relaxed structure of YGa3Se, from Alexandria via LeMat-Bulk.

Cell: 5.067 5.067 5.067 Å, 90.00 90.00 90.00°
Space group Pm-3m (No. 221)
Inequivalent atoms, fractional coordinates:
Y 0.000 0.000 0.000
Ga 0.000 0.500 0.500
Se 0.500 0.500 0.500

ρ (g/cm³): 4.8
Total moment (μB/f.u.): 0.0

Tell me which of them is the most stable. Sure, it is arrangement 2.

Arrangement 1

The following is a PBE-GGA calculation of a relaxed structure of Zn2GaSe, from Alexandria via LeMat-Bulk.

Cell: 6.295 6.295 9.643 Å, 90.00 90.00 90.00°
Space group I-42d (No. 122)
Inequivalent atoms, fractional coordinates:
Zn 0.240 0.250 0.125
Ga 0.000 0.000 0.500
Se 0.000 0.000 0.000

ρ (g/cm³): 4.9
Total moment (μB/f.u.): 0.0

Arrangement 2

The following is a PBE-GGA calculation of a relaxed structure of Zn2GaSe, from Alexandria via LeMat-Bulk.

Cell: 6.771 6.771 6.771 Å, 90.00 90.00 90.00°
Space group Fm-3m (No. 225)
Inequivalent atoms, fractional coordinates:
Zn 0.250 0.250 0.250
Ga 0.000 0.000 0.000
Se 0.000 0.000 0.500

ρ (g/cm³): 6.0
Total moment (μB/f.u.): 0.0

Tell me which of them is the most stable. Sure, it is arrangement 1.

Arrangement 1

The following is a PBE-GGA calculation of a relaxed structure of Zn2Ga2Se, from Alexandria via LeMat-Bulk.

Cell: 7.375 7.375 3.630 Å, 90.00 90.00 90.00°
Space group P4/mbm (No. 127)
Inequivalent atoms, fractional coordinates:
Zn 0.126 0.374 0.000
Ga 0.180 0.680 0.500
Se 0.000 0.000 0.500

ρ (g/cm³): 5.9
Total moment (μB/f.u.): 0.0

Arrangement 2

The following is a PBE-GGA calculation of a relaxed structure of Zn2Ga2Se, from Alexandria via LeMat-Bulk.

Cell: 7.002 7.002 3.993 Å, 90.00 90.00 90.00°
Space group P4/mbm (No. 127)
Inequivalent atoms, fractional coordinates:
Zn 0.130 0.370 0.000
Ga 0.169 0.669 0.500
Se 0.000 0.000 0.000

ρ (g/cm³): 5.9
Total moment (μB/f.u.): 0.0

Tell me which of them is the most stable. Sure, it is arrangement 2.

Arrangement 1

The following is a PBE-GGA calculation of a relaxed structure of Zr2GaSe, from Alexandria via LeMat-Bulk.

Cell: 6.775 6.775 6.775 Å, 90.00 90.00 90.00°
Space group Fm-3m (No. 225)
Inequivalent atoms, fractional coordinates:
Zr 0.250 0.250 0.250
Ga 0.000 0.000 0.000
Se 0.000 0.000 0.500

ρ (g/cm³): 7.1
Total moment (μB/f.u.): 0.0

Arrangement 2

The following is a PBE-GGA calculation of a relaxed structure of Zr2GaSe, from Alexandria via LeMat-Bulk.

Cell: 5.935 5.935 12.741 Å, 90.00 90.00 90.00°
Space group I-42d (No. 122)
Inequivalent atoms, fractional coordinates:
Zr 0.243 0.250 0.125
Ga 0.000 0.000 0.000
Se 0.000 0.000 0.500

ρ (g/cm³): 4.9
Total moment (μB/f.u.): 0.0

Tell me which of them is the most stable. Sure, it is arrangement 1.

Arrangement 1

The following is a PBE-GGA calculation of a relaxed structure of Zr2GaSe, from Alexandria via LeMat-Bulk.

Cell: 3.8728 3.8728 19.2374 Å, 90.00 90.00 120.00°
Space group R-3m (No. 166, hexagonal axes)
Inequivalent atoms, fractional coordinates:
Zr 0.0000 0.0000 0.2463
Ga 0.0000 0.0000 0.5000
Se 0.0000 0.0000 0.0000

ρ (g/cm³): 6.6
Total moment (μB/f.u.): 0.0

Arrangement 2

The following is a PBE-GGA calculation of a relaxed structure of Zr2GaSe, from Alexandria via LeMat-Bulk.

Cell: 3.7550 3.7550 20.5109 Å, 90.00 90.00 120.00°
Space group R3m (No. 160, hexagonal axes)
Inequivalent atoms, fractional coordinates:
Zr 0.0000 0.0000 0.0000
Zr 0.0000 0.0000 0.1758
Ga 0.0000 0.0000 0.5894
Se 0.0000 0.0000 0.4206

ρ (g/cm³): 6.6
Total moment (μB/f.u.): 0.0

Tell me which of them is the most stable. Sure, it is arrangement 1.

Arrangement 1

The following is a PBE-GGA calculation of a relaxed structure of GaSi, from Alexandria via LeMat-Bulk.

Cell: 4.170 4.176 5.887 Å, 110.25 90.69 119.31°
Space group P1 (No. 1)
Inequivalent atoms, fractional coordinates:
Ga 0.000 0.000 0.000
Ga 0.084 0.528 0.522
Si 0.329 0.633 0.962
Si 0.386 0.103 0.402

ρ (g/cm³): 4.0
Total moment (μB/f.u.): 0.0

Arrangement 2

The following is a PBE-GGA calculation of a relaxed structure of GaSi, from Alexandria via LeMat-Bulk.

Cell: 2.620 2.685 4.806 Å, 90.00 90.00 90.00°
Space group Pmmm (No. 47)
Inequivalent atoms, fractional coordinates:
Ga 0.000 0.000 0.000
Si 0.000 0.500 0.500

ρ (g/cm³): 4.8
Total moment (μB/f.u.): 0.0

Tell me which of them is the most stable. Sure, it is arrangement 1.

Arrangement 1

The following is a PBE-GGA calculation of a relaxed structure of GaSi3, from Alexandria via LeMat-Bulk.

Cell: 3.716 3.716 9.246 Å, 90.00 90.00 90.00°
Space group I4/mmm (No. 139)
Inequivalent atoms, fractional coordinates:
Ga 0.000 0.000 0.000
Si 0.000 0.000 0.500
Si 0.000 0.500 0.250

ρ (g/cm³): 4.0
Total moment (μB/f.u.): 0.0

Arrangement 2

The following is a PBE-GGA calculation of a relaxed structure of GaSi3, from Alexandria via LeMat-Bulk.

Cell: 5.477 5.768 5.845 Å, 114.56 104.72 105.29°
Space group P1 (No. 1)
Inequivalent atoms, fractional coordinates:
Ga 0.000 0.000 0.000
Ga 0.486 0.665 0.815
Si 0.145 0.831 0.603
Si 0.148 0.176 0.491
Si 0.381 0.703 0.280
Si 0.689 0.474 0.284
Si 0.707 0.176 0.465
Si 0.897 0.398 0.960

ρ (g/cm³): 3.5
Total moment (μB/f.u.): 0.0

Arrangement 3

The following is a PBE-GGA calculation of a relaxed structure of GaSi3, from Alexandria via LeMat-Bulk.

Cell: 5.633 5.894 5.916 Å, 111.39 108.56 107.31°
Space group P-1 (No. 2)
Inequivalent atoms, fractional coordinates:
Ga 0.238 0.003 0.497
Si 0.019 0.506 0.809
Si 0.292 0.308 0.301
Si 0.493 0.199 0.004

ρ (g/cm³): 3.3
Total moment (μB/f.u.): 0.0

Tell me which of them is the most stable. Sure, it is arrangement 3.

Arrangement 1

The following is a PBE-GGA calculation of a relaxed structure of GaSi3, from Alexandria via LeMat-Bulk.

Cell: 2.503 2.664 9.576 Å, 90.00 90.00 90.00°
Space group Pmmm (No. 47)
Inequivalent atoms, fractional coordinates:
Ga 0.000 0.000 0.000
Si 0.000 0.000 0.500
Si 0.000 0.500 0.262

ρ (g/cm³): 4.0
Total moment (μB/f.u.): 0.0

Arrangement 2

The following is a PBE-GGA calculation of a relaxed structure of GaSi3, from Alexandria via LeMat-Bulk.

Cell: 5.454 5.668 5.694 Å, 66.37 73.77 62.10°
Space group P-1 (No. 2)
Inequivalent atoms, fractional coordinates:
Ga 0.157 0.425 0.272
Si 0.224 0.985 0.883
Si 0.234 0.812 0.563
Si 0.437 0.303 0.809

ρ (g/cm³): 3.6
Total moment (μB/f.u.): 0.0

Arrangement 3

The following is a PBE-GGA calculation of a relaxed structure of GaSi3, from Alexandria via LeMat-Bulk.

Cell: 4.416 5.647 7.170 Å, 86.19 72.10 68.00°
Space group P1 (No. 1)
Inequivalent atoms, fractional coordinates:
Ga 0.000 0.000 0.000
Ga 0.043 0.489 0.074
Si 0.181 0.190 0.338
Si 0.304 0.495 0.487
Si 0.587 0.779 0.351
Si 0.624 0.506 0.892
Si 0.716 0.221 0.631
Si 0.740 0.794 0.642

ρ (g/cm³): 3.2
Total moment (μB/f.u.): 0.0

Tell me which of them is the most stable. Sure, it is arrangement 3.

Arrangement 1

The following is a PBE-GGA calculation of a relaxed structure of SmGa2Si, from Alexandria via LeMat-Bulk.

Cell: 4.256 4.256 4.377 Å, 90.00 90.00 90.00°
Space group P4/mmm (No. 123)
Inequivalent atoms, fractional coordinates:
Sm 0.000 0.000 0.000
Ga 0.000 0.500 0.500
Si 0.500 0.500 0.000

ρ (g/cm³): 6.7
Total moment (μB/f.u.): 0.0

Arrangement 2

The following is a PBE-GGA calculation of a relaxed structure of SmGa2Si, from Alexandria via LeMat-Bulk.

Cell: 4.3350 4.3350 15.2284 Å, 90.00 90.00 120.00°
Space group R-3m (No. 166, hexagonal axes)
Inequivalent atoms, fractional coordinates:
Sm 0.0000 0.0000 0.0000
Ga 0.0000 0.0000 0.2165
Si 0.0000 0.0000 0.5000

ρ (g/cm³): 6.4
Total moment (μB/f.u.): 0.0

Tell me which of them is the most stable. Sure, it is arrangement 1.

Arrangement 1

The following is a PBE-GGA calculation of a relaxed structure of Ga3SiSn, from Alexandria via LeMat-Bulk.

Cell: 5.240 5.240 5.240 Å, 90.00 90.00 90.00°
Space group Pm-3m (No. 221)
Inequivalent atoms, fractional coordinates:
Ga 0.000 0.000 0.500
Si 0.500 0.500 0.500
Sn 0.000 0.000 0.000

ρ (g/cm³): 4.1
Total moment (μB/f.u.): 0.0

Arrangement 2

The following is a PBE-GGA calculation of a relaxed structure of Ga3SiSn, from Alexandria via LeMat-Bulk.

Cell: 4.870 4.870 4.870 Å, 90.00 90.00 90.00°
Space group Pm-3m (No. 221)
Inequivalent atoms, fractional coordinates:
Ga 0.000 0.000 0.500
Si 0.000 0.000 0.000
Sn 0.500 0.500 0.500

ρ (g/cm³): 5.1
Total moment (μB/f.u.): 0.0

Tell me which of them is the most stable. Sure, it is arrangement 2.

Arrangement 1

The following is a PBE-GGA calculation of a relaxed structure of Ga2SiSn2, from Alexandria via LeMat-Bulk.

Cell: 8.002 8.002 3.607 Å, 90.00 90.00 90.00°
Space group P4/mbm (No. 127)
Inequivalent atoms, fractional coordinates:
Ga 0.122 0.378 0.000
Si 0.000 0.000 0.500
Sn 0.180 0.680 0.500

ρ (g/cm³): 5.8
Total moment (μB/f.u.): 0.0

Arrangement 2

The following is a PBE-GGA calculation of a relaxed structure of Ga2SiSn2, from Alexandria via LeMat-Bulk.

Cell: 6.529 6.529 5.338 Å, 90.00 90.00 90.00°
Space group P4/mbm (No. 127)
Inequivalent atoms, fractional coordinates:
Ga 0.137 0.363 0.000
Si 0.000 0.000 0.000
Sn 0.215 0.715 0.500

ρ (g/cm³): 5.9
Total moment (μB/f.u.): 0.0

Tell me which of them is the most stable. Sure, it is arrangement 2.